Zn8FeCu6 | PBE-GGA | relaxed

a b c (Å): 6.561 6.561 6.561
angles (deg): 60.36 60.36 60.36
Fractional coordinates of all 15 atoms:
1 Zn 0.086 0.086 0.086
2 Zn 0.161 0.326 0.627
3 Zn 0.326 0.627 0.161
4 Zn 0.373 0.839 0.674
5 Zn 0.627 0.161 0.326
6 Zn 0.674 0.373 0.839
7 Zn 0.839 0.674 0.373
8 Zn 0.914 0.914 0.914
9 Fe 0.500 0.500 0.500
10 Cu 0.037 0.776 0.561
11 Cu 0.224 0.439 0.963
12 Cu 0.439 0.963 0.224
13 Cu 0.561 0.037 0.776
14 Cu 0.776 0.561 0.037
15 Cu 0.963 0.224 0.439

Summary:
V: 13.42 Å³ per atom
Formation energy: 21 meV per atom
ρ: 7.9 Mg/m³
SG: R-3

---

Rb3SiI6 | PBE-GGA | relaxed

a b c (Å): 8.856 8.856 8.856
angles (deg): 60.00 60.00 60.00
Fractional coordinates of all 10 atoms:
1 Rb 0.000 0.000 0.000
2 Rb 0.250 0.250 0.250
3 Rb 0.750 0.750 0.750
4 Si 0.500 0.500 0.500
5 I 0.276 0.276 0.724
6 I 0.276 0.724 0.276
7 I 0.276 0.724 0.724
8 I 0.724 0.276 0.276
9 I 0.724 0.276 0.724
10 I 0.724 0.724 0.276

Summary:
V: 49.12 Å³ per atom
Formation energy (no corrections): -19.6 kcal/mol of atoms
ρ: 3.5 Mg/m³
SG: Fm-3m

---

Tb3SnP2Ir9 | PBE-GGA | relaxed

a b c (Å): 5.662 5.662 10.485
angles (deg): 90.00 90.00 120.00
Fractional coordinates of all 15 atoms:
1 Tb 0.000 0.000 0.000
2 Tb 0.333 0.667 0.594
3 Tb 0.667 0.333 0.406
4 Sn 0.000 0.000 0.500
5 P 0.333 0.667 0.156
6 P 0.667 0.333 0.844
7 Ir 0.000 0.500 0.000
8 Ir 0.160 0.321 0.298
9 Ir 0.160 0.840 0.298
10 Ir 0.321 0.160 0.702
11 Ir 0.500 0.000 0.000
12 Ir 0.500 0.500 0.000
13 Ir 0.679 0.840 0.298
14 Ir 0.840 0.160 0.702
15 Ir 0.840 0.679 0.702

Summary:
V: 19.40 Å³ per atom
Formation energy: -353 meV per atom
ρ: 13.6 Mg/m³
SG: P-3m1

---

TaBiS4 | PBE-GGA | relaxed

a b c (Å): 6.513 6.431 6.413
angles (deg): 90.00 94.15 90.00
Fractional coordinates of all 12 atoms:
1 Ta 0.000 0.000 0.000
2 Ta 0.000 0.500 0.500
3 Bi 0.500 0.000 0.500
4 Bi 0.500 0.500 0.000
5 S 0.118 0.163 0.677
6 S 0.118 0.337 0.177
7 S 0.335 0.624 0.606
8 S 0.335 0.876 0.106
9 S 0.665 0.124 0.894
10 S 0.665 0.376 0.394
11 S 0.882 0.663 0.823
12 S 0.882 0.837 0.323

Summary:
V: 22.32 Å³ per atom
Energy relative to the lowest polymorph listed for this composition: 146 meV/atom
Formation energy (no corrections): -11.1 kcal/mol of atoms
ρ: 6.4 Mg/m³
SG: P2_1/c

---

Tm8Pd2Pt | PBE-GGA | relaxed

a b c (Å): 8.998 8.998 6.634
angles (deg): 104.43 104.43 32.28
Fractional coordinates of all 11 atoms:
1 Tm 0.033 0.033 0.285
2 Tm 0.206 0.206 0.825
3 Tm 0.334 0.334 0.522
4 Tm 0.410 0.410 0.054
5 Tm 0.590 0.590 0.946
6 Tm 0.666 0.666 0.478
7 Tm 0.794 0.794 0.175
8 Tm 0.967 0.967 0.715
9 Pd 0.187 0.187 0.228
10 Pd 0.813 0.813 0.772
11 Pt 0.500 0.500 0.500

Summary:
V: 25.19 Å³ per atom
Energy relative to the lowest polymorph listed for this composition: 0 meV/atom
Formation energy: -588 meV per atom
ρ: 10.5 Mg/m³
SG: C2/m

---

Ca2LaCdC | PBE-GGA | relaxed

a b c (Å): 5.271 5.271 4.857
angles (deg): 90.00 90.00 90.00
Fractional coordinates of all 5 atoms:
1 Ca 0.000 0.500 0.000
2 Ca 0.500 0.000 0.000
3 La 0.000 0.000 0.500
4 Cd 0.500 0.500 0.500
5 C 0.000 0.000 0.000

Summary:
V: 26.99 Å³ per atom
Formation energy: -45 meV per atom
ρ: 4.2 Mg/m³
SG: P4/mmm

---

LiCl2 | PBE-GGA | relaxed

a b c (Å): 8.638 8.638 4.620
angles (deg): 93.99 93.99 28.31
Fractional coordinates of all 6 atoms:
1 Li 0.238 0.238 0.247
2 Li 0.762 0.762 0.753
3 Cl 0.193 0.193 0.735
4 Cl 0.479 0.479 0.789
5 Cl 0.521 0.521 0.211
6 Cl 0.807 0.807 0.265

Summary:
V: 27.18 Å³ per atom
Energy relative to the lowest polymorph listed for this composition: 28 meV/atom
Formation energy (no corrections): -26.9 kcal/mol of atoms
ρ: 1.6 Mg/m³
SG: C2/m

---

Ba12In6H | PBE-GGA | relaxed

a b c (Å): 9.528 9.528 9.528
angles (deg): 93.58 93.58 93.58
Fractional coordinates of all 19 atoms:
1 Ba 0.045 0.685 0.915
2 Ba 0.085 0.955 0.315
3 Ba 0.196 0.546 0.421
4 Ba 0.315 0.085 0.955
5 Ba 0.421 0.196 0.546
6 Ba 0.454 0.579 0.804
7 Ba 0.546 0.421 0.196
8 Ba 0.579 0.804 0.454
9 Ba 0.685 0.915 0.045
10 Ba 0.804 0.454 0.579
11 Ba 0.915 0.045 0.685
12 Ba 0.955 0.315 0.085
13 In 0.146 0.350 0.751
14 In 0.249 0.854 0.650
15 In 0.350 0.751 0.146
16 In 0.650 0.249 0.854
17 In 0.751 0.146 0.350
18 In 0.854 0.650 0.249
19 H 0.500 0.500 0.500

Summary:
Calculated total energy: -47.42 eV per cell
V: 45.25 Å³ per atom
ρ: 4.5 Mg/m³
SG: R-3

---

TiAl3V2 | PBE-GGA | relaxed

a b c (Å): 6.698 6.698 6.698
angles (deg): 98.75 97.78 135.43
Fractional coordinates of all 12 atoms:
1 Ti 0.500 0.250 0.250
2 Ti 0.500 0.750 0.750
3 Al 0.000 0.000 0.500
4 Al 0.000 0.249 0.249
5 Al 0.000 0.500 0.000
6 Al 0.000 0.751 0.751
7 Al 0.500 0.249 0.749
8 Al 0.500 0.751 0.251
9 V 0.164 0.748 0.416
10 V 0.168 0.252 0.916
11 V 0.832 0.748 0.084
12 V 0.836 0.252 0.584

Summary:
V: 16.26 Å³ per atom
Energy relative to the lowest polymorph listed for this composition: 271 meV/atom
Formation energy: -18 meV per atom
ρ: 3.9 Mg/m³
SG: Imma

---

NiMoBr2 | PBE-GGA | relaxed

a b c (Å): 4.544 4.544 4.544
angles (deg): 60.00 60.00 60.00
Fractional coordinates of all 4 atoms:
1 Ni 0.000 0.000 0.000
2 Mo 0.500 0.500 0.500
3 Br 0.250 0.250 0.250
4 Br 0.750 0.750 0.750

Summary:
V: 16.59 Å³ per atom
Energy relative to the lowest polymorph listed for this composition: 764 meV/atom
Formation energy (no corrections): 18.6 kcal/mol of atoms
ρ: 7.9 Mg/m³
SG: Fm-3m

---

MgNi | PBE-GGA | relaxed

a b c (Å): 7.778 7.121 4.577
angles (deg): 80.14 64.42 35.44
Fractional coordinates of all 8 atoms:
1 Mg 0.044 0.706 0.044
2 Mg 0.294 0.956 0.294
3 Mg 0.706 0.044 0.706
4 Mg 0.956 0.294 0.956
5 Ni 0.291 0.291 0.459
6 Ni 0.459 0.459 0.291
7 Ni 0.541 0.541 0.709
8 Ni 0.709 0.709 0.541

Summary:
V: 15.56 Å³ per atom
Formation energy: 42 meV per atom
ρ: 4.4 Mg/m³
SG: Fddd

---

Re2NiAu | PBE-GGA | relaxed

a b c (Å): 2.767 3.852 5.578
angles (deg): 90.00 91.23 90.00
Fractional coordinates of all 4 atoms:
1 Re 0.000 0.000 0.000
2 Re 0.429 0.500 0.221
3 Ni 0.459 0.500 0.757
4 Au 0.966 0.000 0.512

Summary:
V: 14.86 Å³ per atom
Energy relative to the lowest polymorph listed for this composition: 30 meV/atom
Formation energy: 229 meV per atom
ρ: 17.5 Mg/m³
SG: Pm

---

HfZr2GaN | PBE-GGA | relaxed

a b c (Å): 4.533 4.533 4.276
angles (deg): 90.00 90.00 90.00
Fractional coordinates of all 5 atoms:
1 Hf 0.000 0.000 0.000
2 Zr 0.000 0.500 0.500
3 Zr 0.500 0.000 0.500
4 Ga 0.500 0.500 0.000
5 N 0.000 0.000 0.500

Summary:
V: 17.57 Å³ per atom
Formation energy (no corrections): -19.6 kcal/mol of atoms
ρ: 8.4 Mg/m³
SG: P4/mmm

---

Be2TlRu | PBE-GGA | relaxed

a b c (Å): 4.395 4.395 4.649
angles (deg): 101.76 101.76 42.53
Fractional coordinates of all 4 atoms:
1 Be 0.213 0.213 0.109
2 Be 0.787 0.787 0.891
3 Tl 0.000 0.000 0.500
4 Ru 0.500 0.500 0.000

Summary:
V: 14.81 Å³ per atom
Energy relative to the lowest polymorph listed for this composition: 133 meV/atom
Formation energy: 227 meV per atom
ρ: 9.1 Mg/m³
SG: C2/m

---

SrCaRe2 | PBE-GGA | relaxed

a b c (Å): 2.796 2.796 10.384
angles (deg): 90.00 90.00 90.00
Fractional coordinates of all 4 atoms:
1 Sr 0.000 0.000 0.000
2 Ca 0.000 0.000 0.500
3 Re 0.500 0.500 0.259
4 Re 0.500 0.500 0.741

Summary:
V: 20.30 Å³ per atom
Energy relative to the lowest polymorph listed for this composition: 738 meV/atom
Formation energy: 1063 meV per atom
ρ: 10.2 Mg/m³
SG: P4/mmm

---

CuReOs2 | PBE-GGA | relaxed

a b c (Å): 4.470 4.470 2.856
angles (deg): 90.00 90.00 90.00
Fractional coordinates of all 4 atoms:
1 Cu 0.000 0.000 0.000
2 Re 0.500 0.500 0.000
3 Os 0.000 0.500 0.500
4 Os 0.500 0.000 0.500

Summary:
V: 14.27 Å³ per atom
Energy relative to the lowest polymorph listed for this composition: 349 meV/atom
Formation energy: 530 meV per atom
ρ: 18.3 Mg/m³
SG: P4/mmm

---

Sr3EuRhO6 | PBE-GGA | relaxed

a b c (Å): 6.897 6.897 6.897
angles (deg): 91.47 91.47 91.47
Fractional coordinates of all 22 atoms:
1 Sr 0.118 0.750 0.382
2 Sr 0.250 0.618 0.882
3 Sr 0.382 0.118 0.750
4 Sr 0.618 0.882 0.250
5 Sr 0.750 0.382 0.118
6 Sr 0.882 0.250 0.618
7 Eu 0.250 0.250 0.250
8 Eu 0.750 0.750 0.750
9 Rh 0.000 0.000 0.000
10 Rh 0.500 0.500 0.500
11 O 0.051 0.918 0.711
12 O 0.082 0.289 0.949
13 O 0.211 0.418 0.551
14 O 0.289 0.949 0.082
15 O 0.418 0.551 0.211
16 O 0.449 0.789 0.582
17 O 0.551 0.211 0.418
18 O 0.582 0.449 0.789
19 O 0.711 0.051 0.918
20 O 0.789 0.582 0.449
21 O 0.918 0.711 0.051
22 O 0.949 0.082 0.289

Summary:
V: 14.90 Å³ per atom
Formation energy (no corrections): -54.4 kcal/mol of atoms
ρ: 6.2 Mg/m³
SG: R-3c

---

La2Pm2Sc | PBE-GGA | relaxed

a b c (Å): 6.301 6.301 6.301
angles (deg): 132.97 107.74 90.79
Fractional coordinates of all 5 atoms:
1 La 0.215 0.000 0.215
2 La 0.785 0.000 0.785
3 Pm 0.205 0.705 0.500
4 Pm 0.795 0.295 0.500
5 Sc 0.500 0.500 0.000

Summary:
V: 33.07 Å³ per atom
Energy relative to the lowest polymorph listed for this composition: 76 meV/atom
Formation energy: 204 meV per atom
ρ: 6.2 Mg/m³
SG: Immm

---

TbTh2Sc | PBE-GGA | relaxed

a b c (Å): 4.964 4.964 4.918
angles (deg): 90.00 90.00 90.00
Fractional coordinates of all 4 atoms:
1 Tb 0.000 0.000 0.000
2 Th 0.000 0.500 0.500
3 Th 0.500 0.000 0.500
4 Sc 0.500 0.500 0.000

Summary:
V: 30.30 Å³ per atom
Energy relative to the lowest polymorph listed for this composition: 6 meV/atom
Formation energy: 51 meV per atom
ρ: 9.2 Mg/m³
SG: P4/mmm

---

ErPuNi2 | PBE-GGA | relaxed

a b c (Å): 4.800 4.800 3.241
angles (deg): 90.00 90.00 90.00
Fractional coordinates of all 4 atoms:
1 Er 0.000 0.000 0.000
2 Pu 0.500 0.500 0.000
3 Ni 0.000 0.500 0.500
4 Ni 0.500 0.000 0.500

Summary:
V: 18.67 Å³ per atom
Formation energy: -223 meV per atom
ρ: 11.8 Mg/m³
SG: P4/mmm